Material: KNd4SmS8
Method: DFT, GGA-PBE
State: relaxed

Results
For the energy, the calculation gives -6.045 eV per atom. The uncorrected formation energy comes out at -1.909 eV/atom. As for the density of states at the Fermi level: 0.0 states/eV per cell. Its symmetry is No. 160.

abc: 8.486 8.486 8.449
angles: 59.86 59.86 60.00
Atoms (fractional coordinates):
Nd1 0.004 0.488 0.504
Nd2 0.625 0.625 0.126
Nd3 0.004 0.004 0.504
Nd4 0.488 0.004 0.504
S1 0.798 0.232 0.737
S2 0.232 0.232 0.737
S3 0.226 0.759 0.255
S4 0.234 0.234 0.297
S5 0.758 0.758 0.727
S6 0.759 0.226 0.255
S7 0.232 0.798 0.737
S8 0.759 0.759 0.255
K1 0.376 0.376 0.872
Sm1 0.004 0.004 0.987